VASP calculation (PBE) on AcPr3Dy7 after structural relaxation.

Cell: 11.7676 10.0470 6.5749 Å, 90.00 94.84 90.00°
Last column: nearest neighbours and their distance in Å.
Space group C2/m (No. 12)
Symmetry-distinct sites (fractional):
Ac  0.0000  0.0000  0.0000  4 Dy 3.29-3.54
Pr  0.0000  0.3228  0.5000  7 Dy 3.24-3.58, 1 Pr 3.56
Pr  0.0000  0.5000  0.0000  6 Dy 3.53-3.68, 4 Pr 3.74
Dy  0.0000  0.0000  0.5000  2 Pr 3.24, 2 Ac 3.29, 2 Dy 3.48
Dy  0.2354  0.5000  0.6999  5 Dy 3.32-3.50, 3 Pr 3.46-3.53, 1 Ac 3.54
Dy  0.2468  0.1722  0.7597  5 Dy 3.32-3.67, 3 Pr 3.56-3.68

## Properties
Raw total energy, eV per atom: -4.391
V, Å³ per atom: 35.2
Crystal system: monoclinic
Formation enthalpy at 0 K, eV per formula unit: 2.4
E above lowest polymorph, kcal/mol of atoms: 0.49

VASP calculation (PBE) on RePb2Br after structural relaxation.

Cell: 3.2145 4.8386 14.0341 Å, 90.00 90.00 90.00°
Last column: nearest neighbours and their distance in Å.
Space group Imm2 (No. 44)
Symmetry-distinct sites (fractional):
Re  0.0000  0.0000  0.0000  2 Br 2.73, 6 Pb 2.91-3.02
Pb  0.0000  0.0000  0.4954  4 Re 2.91, 2 Pb 3.21
Pb  0.0000  0.5000  0.3181  2 Re 3.02, 2 Pb 3.21
Br  0.0000  0.5000  0.6568  2 Re 2.73

## Properties
Raw total energy, eV per atom: -4.769
ΔE_f (raw), eV/atom: 0.6157
V, Å³ per atom: 27.3
Crystal system: orthorhombic
E above lowest polymorph, kcal/mol of atoms: 1.35

VASP calculation (PBE) on SrAuN2 after structural relaxation.

Cell: 5.0983 5.0983 11.2548 Å, 90.00 90.00 90.00°
Last column: nearest neighbours and their distance in Å.
Space group I-42d (No. 122)
Symmetry-distinct sites (fractional):
Sr  0.0000  0.0000  0.0000  4 N 2.52
Au  0.0000  0.0000  0.5000  4 N 2.10
N  0.1745  0.2500  0.6250  2 Au 2.10

## Properties
Raw total energy, eV per atom: -4.723
ΔE_f (raw), eV/atom: 0.6798
V, Å³ per atom: 18.3
Crystal system: tetragonal
E above lowest polymorph, kcal/mol of atoms: 4.12

Which of these has the lowest E above lowest polymorph? AcPr3Dy7